# Bi (PBE, optimized geometry)
data_Bi
_chemical_formula_sum 'Bi4'
_cell_length_a 6.7366
_cell_length_b 6.7366
_cell_length_c 6.7366
_cell_angle_alpha 95.18
_cell_angle_beta 95.18
_cell_angle_gamma 145.02
_space_group_name_H-M_alt 'P 1'
_space_group_IT_number 1
_space_group_name_Hall 'P 1'
loop_
_atom_site_label
_atom_site_type_symbol
_atom_site_fract_x
_atom_site_fract_y
_atom_site_fract_z
Bi1 Bi 0.1431 0.6431 0.7862
Bi2 Bi 0.3569 0.1431 0.5000
Bi3 Bi 0.6431 0.8569 0.5000
Bi4 Bi 0.8569 0.3569 0.2138
# Polymorph energy (0 for the lowest one) = 19 kJ/mol of formula units
# Size of the total moment = 0.000 μB per formula unit

# TbY4Tm7 (PBE, optimized geometry)
data_TbY4Tm7
_chemical_formula_sum 'Tb1 Y4 Tm7'
_cell_length_a 6.6544
_cell_length_b 6.6544
_cell_length_c 12.6078
_cell_angle_alpha 115.19
_cell_angle_beta 115.19
_cell_angle_gamma 51.71
_space_group_name_H-M_alt 'P 1'
_space_group_IT_number 1
_space_group_name_Hall 'P 1'
loop_
_atom_site_label
_atom_site_type_symbol
_atom_site_fract_x
_atom_site_fract_y
_atom_site_fract_z
Tb1 Tb 0.0000 0.0000 0.0000
Y1 Y 0.1407 0.1407 0.7755
Y2 Y 0.4372 0.4372 0.6803
Y3 Y 0.5628 0.5628 0.3197
Y4 Y 0.8593 0.8593 0.2245
Tm1 Tm 0.1340 0.1340 0.5000
Tm2 Tm 0.2590 0.2590 0.3216
Tm3 Tm 0.2873 0.2873 0.0757
Tm4 Tm 0.5000 0.5000 0.0000
Tm5 Tm 0.7127 0.7127 0.9243
Tm6 Tm 0.7410 0.7410 0.6784
Tm7 Tm 0.8660 0.8660 0.5000
# Size of the total moment = 0.217 μB per formula unit

| no. | calculated total energy (eV per atom) | calculated formation energy (eV/atom) |
| --- | --- | --- |
| 1 | -3.687 | 0.19 |
| 2 | -4.855 | 0.29 |